## NaNi2PI (GGA-PBE)

Data for a geometry-optimized NaNi2PI structure. Values from VASP.

Quantum ESPRESSO input file:
```
&SYSTEM
  ibrav = 0, nat = 5, ntyp = 4
/
ATOMIC_SPECIES
Na 22.99 Na.upf
Ni 58.69 Ni.upf
P 30.97 P.upf
I 126.90 I.upf
CELL_PARAMETERS angstrom
4.199 0.000 0.000
0.000 4.199 0.000
0.000 0.000 7.397
ATOMIC_POSITIONS crystal
Na 0.000 0.000 0.000
Ni 0.000 0.500 0.500
Ni 0.500 0.000 0.500
P 0.000 0.000 0.500
I 0.500 0.500 0.000
```

Properties
The magnetization comes out at 0.000 μB per atom. As for the uncorrected energy: -20.05 eV per cell. The uncorrected formation energy comes out at -0.041 eV per atom. As for the crystal system: tetragonal.